Here is a geometry-optimized Pm4PrErTm2 structure from Alexandria via LeMat-Bulk. Energies are from PBE.

Properties
* Fermi-level density of states: 1.311 states/eV per atom
* E: -4.646 eV/atom
* energy of formation from the pure elements: 0.02 eV per atom

POSCAR file:
```
Pm4PrErTm2
1.0
9.340 -0.384 -3.839
0.458 10.192 0.086
-7.629 -4.836 8.519
Pr Pm Tm Er
2 8 4 2
Direct
0.000 0.500 0.000
0.000 0.500 0.500
0.252 0.752 0.002
0.248 0.248 0.498
0.749 0.248 0.499
0.751 0.751 0.002
0.249 0.249 0.998
0.251 0.752 0.501
0.752 0.752 0.502
0.748 0.248 0.998
0.500 0.500 0.000
0.500 0.000 0.500
0.500 0.000 0.000
0.000 0.000 0.500
0.500 0.500 0.500
0.000 0.000 0.000
```

=====

Here is a geometry-optimized PmPr6Er2Tm3 structure from Alexandria via LeMat-Bulk. Energies are from PBE.

Properties
* Fermi-level density of states: 1.057 states/eV per atom
* E: -4.649 eV/atom
* energy of formation from the pure elements: 0.02 eV per atom

POSCAR file:
```
PmPr6Er2Tm3
1.0
6.289 -0.001 0.011
-3.144 5.447 0.011
-1.068 -1.848 11.652
Tm Er Pr Pm
3 2 6 1
Direct
0.167 0.833 0.500
0.833 0.167 0.500
0.500 0.500 0.500
0.667 0.333 0.000
0.333 0.667 0.000
0.250 0.250 0.748
0.084 0.418 0.252
0.418 0.084 0.252
0.582 0.916 0.748
0.916 0.582 0.748
0.750 0.750 0.252
0.000 0.000 0.000
```